(1)
A relaxed structure of Sr6GaCu, computed with PBE.

Cell: 4.330 11.832 14.140 Å, 90.00 90.00 90.00°
Fractional positions:
Sr: 0.000 0.000 0.000
Sr: 0.000 0.178 0.741
Sr: 0.000 0.322 0.241
Sr: 0.000 0.500 0.500
Sr: 0.000 0.678 0.241
Sr: 0.000 0.822 0.741
Sr: 0.500 0.000 0.250
Sr: 0.500 0.192 0.494
Sr: 0.500 0.308 0.994
Sr: 0.500 0.500 0.750
Sr: 0.500 0.692 0.994
Sr: 0.500 0.808 0.494
Ga: 0.000 0.000 0.564
Ga: 0.000 0.500 0.064
Cu: 0.500 0.000 0.650
Cu: 0.500 0.500 0.150

Energy relative to the elements ... -0.06 eV per atom
Symmetry ... Amm2 (38)
Volume ... 45.28 A^3/atom
DOS(E_F) ... 0.992 states/eV per atom

---

(2)
A relaxed structure of SrGa7Cu12, computed with PBE.

Cell: 7.611 7.611 7.611 Å, 112.15 112.15 112.15°
Fractional positions:
Sr: 0.000 0.000 0.000
Ga: 0.194 0.194 0.543
Ga: 0.194 0.543 0.194
Ga: 0.457 0.806 0.806
Ga: 0.500 0.500 0.500
Ga: 0.543 0.194 0.194
Ga: 0.806 0.457 0.806
Ga: 0.806 0.806 0.457
Cu: 0.000 0.271 0.729
Cu: 0.000 0.729 0.271
Cu: 0.056 0.397 0.397
Cu: 0.271 0.000 0.729
Cu: 0.271 0.729 0.000
Cu: 0.397 0.056 0.397
Cu: 0.397 0.397 0.056
Cu: 0.603 0.603 0.944
Cu: 0.603 0.944 0.603
Cu: 0.729 0.000 0.271
Cu: 0.729 0.271 0.000
Cu: 0.944 0.603 0.603

Energy relative to the elements ... -0.02 eV per atom
Symmetry ... R-3m (166)
Volume ... 15.05 A^3/atom
DOS(E_F) ... 0.359 states/eV per atom

---

(3)
A relaxed structure of SrGa2Cu, computed with PBE.

Cell: 15.817 7.042 6.104 Å, 90.00 90.00 90.00°
Fractional positions:
Sr: 0.104 0.250 0.206
Sr: 0.135 0.750 0.002
Sr: 0.365 0.250 0.502
Sr: 0.396 0.750 0.706
Sr: 0.604 0.250 0.294
Sr: 0.635 0.750 0.498
Sr: 0.865 0.250 0.998
Sr: 0.896 0.750 0.794
Ga: 0.044 0.063 0.697
Ga: 0.044 0.437 0.697
Ga: 0.211 0.560 0.511
Ga: 0.211 0.940 0.511
Ga: 0.289 0.060 0.011
Ga: 0.289 0.440 0.011
Ga: 0.456 0.563 0.197
Ga: 0.456 0.937 0.197
Ga: 0.544 0.063 0.803
Ga: 0.544 0.437 0.803
Ga: 0.711 0.560 0.989
Ga: 0.711 0.940 0.989
Ga: 0.789 0.060 0.489
Ga: 0.789 0.440 0.489
Ga: 0.956 0.563 0.303
Ga: 0.956 0.937 0.303
Cu: 0.072 0.750 0.503
Cu: 0.187 0.250 0.730
Cu: 0.313 0.750 0.230
Cu: 0.428 0.250 0.003
Cu: 0.572 0.750 0.997
Cu: 0.687 0.250 0.770
Cu: 0.813 0.750 0.270
Cu: 0.928 0.250 0.497

Energy relative to the elements ... -0.33 eV per atom
Symmetry ... Pnma (62)
Volume ... 21.24 A^3/atom
DOS(E_F) ... 0.417 states/eV per atom

---

(4)
A relaxed structure of SrGa4Cu6, computed with PBE.

Cell: 6.987 6.987 4.146 Å, 90.00 90.00 120.00°
Fractional positions:
Sr: 0.000 0.000 0.000
Ga: 0.333 0.667 0.000
Ga: 0.399 0.199 0.500
Ga: 0.801 0.199 0.500
Ga: 0.801 0.601 0.500
Cu: 0.211 0.423 0.500
Cu: 0.211 0.789 0.500
Cu: 0.541 0.081 0.000
Cu: 0.541 0.459 0.000
Cu: 0.577 0.789 0.500
Cu: 0.919 0.459 0.000

Energy relative to the elements ... -0.17 eV per atom
Symmetry ... P-6m2 (187)
Volume ... 15.93 A^3/atom
DOS(E_F) ... 0.467 states/eV per atom

---

(5)
A relaxed structure of Sr2Ga2Cu15, computed with PBE.

Cell: 6.619 6.619 6.619 Å, 83.08 83.08 83.08°
Fractional positions:
Sr: 0.151 0.151 0.151
Sr: 0.849 0.849 0.849
Ga: 0.398 0.398 0.398
Ga: 0.602 0.602 0.602
Cu: 0.000 0.500 0.500
Cu: 0.160 0.160 0.650
Cu: 0.160 0.650 0.160
Cu: 0.204 0.500 0.796
Cu: 0.204 0.796 0.500
Cu: 0.350 0.840 0.840
Cu: 0.500 0.000 0.500
Cu: 0.500 0.204 0.796
Cu: 0.500 0.500 0.000
Cu: 0.500 0.796 0.204
Cu: 0.650 0.160 0.160
Cu: 0.796 0.204 0.500
Cu: 0.796 0.500 0.204
Cu: 0.840 0.350 0.840
Cu: 0.840 0.840 0.350

Energy relative to the elements ... -0.07 eV per atom
Symmetry ... R-3m (166)
Volume ... 14.95 A^3/atom
DOS(E_F) ... 0.426 states/eV per atom

---

(6)
A relaxed structure of SrGaCu2, computed with PBE.

Cell: 4.811 4.811 16.672 Å, 90.00 90.00 90.00°
Fractional positions:
Sr: 0.000 0.250 0.375
Sr: 0.000 0.750 0.625
Sr: 0.500 0.250 0.125
Sr: 0.500 0.750 0.875
Ga: 0.000 0.250 0.875
Ga: 0.000 0.750 0.125
Ga: 0.500 0.250 0.625
Ga: 0.500 0.750 0.375
Cu: 0.000 0.000 0.000
Cu: 0.000 0.500 0.000
Cu: 0.250 0.250 0.750
Cu: 0.250 0.750 0.250
Cu: 0.500 0.000 0.500
Cu: 0.500 0.500 0.500
Cu: 0.750 0.250 0.750
Cu: 0.750 0.750 0.250

Energy relative to the elements ... -0.09 eV per atom
Symmetry ... I4_1/amd (141)
Volume ... 24.12 A^3/atom
DOS(E_F) ... 0.849 states/eV per atom

---

(7)
A relaxed structure of Sr2Ga2Cu3, computed with PBE.

Cell: 11.552 4.093 7.343 Å, 90.00 119.58 90.00°
Fractional positions:
Sr: 0.129 0.000 0.256
Sr: 0.371 0.500 0.744
Sr: 0.629 0.500 0.256
Sr: 0.871 0.000 0.744
Ga: 0.139 0.000 0.709
Ga: 0.361 0.500 0.291
Ga: 0.639 0.500 0.709
Ga: 0.861 0.000 0.291
Cu: 0.000 0.500 0.500
Cu: 0.160 0.500 0.917
Cu: 0.340 0.000 0.083
Cu: 0.500 0.000 0.500
Cu: 0.660 0.000 0.917
Cu: 0.840 0.500 0.083

Energy relative to the elements ... -0.21 eV per atom
Symmetry ... C2/m (12)
Volume ... 21.57 A^3/atom
DOS(E_F) ... 0.591 states/eV per atom

---

(8)
A relaxed structure of Sr2Ga3Cu2, computed with PBE.

Cell: 11.577 4.268 6.896 Å, 90.00 102.78 90.00°
Fractional positions:
Sr: 0.178 0.000 0.229
Sr: 0.322 0.500 0.771
Sr: 0.678 0.500 0.229
Sr: 0.822 0.000 0.771
Ga: 0.000 0.500 0.500
Ga: 0.068 0.500 0.877
Ga: 0.432 0.000 0.123
Ga: 0.500 0.000 0.500
Ga: 0.568 0.000 0.877
Ga: 0.932 0.500 0.123
Cu: 0.077 0.000 0.679
Cu: 0.423 0.500 0.321
Cu: 0.577 0.500 0.679
Cu: 0.923 0.000 0.321

Energy relative to the elements ... -0.29 eV per atom
Symmetry ... C2/m (12)
Volume ... 23.73 A^3/atom
DOS(E_F) ... 0.572 states/eV per atom
Excess energy over the best structure of this formula in the dataset ... 9 meV/atom